[1]
Compound: LaYBeIn2
Source: Alexandria via LeMat-Bulk
Functional: PBEsol
Structure: optimized geometry

Geometry as extended XYZ:
```
5
Lattice="4.834 0.000 0.000 0.000 4.834 0.000 0.000 0.000 5.237" Properties=species:S:1:pos:R:3 pbc="T T T"
La 0.000 0.000 0.000
Y 2.417 2.417 0.000
Be 0.000 0.000 2.618
In 0.000 2.417 2.618
In 2.417 0.000 2.618
```

Computed properties:
D(E_F): 4.40 states/eV per cell
formation energy from the elements: 0.014 eV/atom

[2]
Compound: TcAs2
Source: Alexandria via LeMat-Bulk
Functional: PBEsol
Structure: optimized geometry

Geometry as extended XYZ:
```
6
Lattice="5.588 0.000 0.000 0.000 6.307 0.000 0.000 0.000 2.908" Properties=species:S:1:pos:R:3 pbc="T T T"
Tc 0.000 0.000 0.000
Tc 2.794 3.153 1.454
As 0.965 2.325 0.000
As 1.829 5.478 1.454
As 3.759 0.829 1.454
As 4.623 3.982 0.000
```

Computed properties:
D(E_F): 5.02 states/eV per cell
offset from the most stable computed form: 0 meV/atom
formation energy from the elements: -0.212 eV/atom

[3]
Compound: BeOs2Ru
Source: Alexandria via LeMat-Bulk
Functional: PBEsol
Structure: optimized geometry

Geometry as extended XYZ:
```
8
Lattice="3.622 0.000 0.000 0.000 3.622 0.000 0.000 0.000 7.835" Properties=species:S:1:pos:R:3 pbc="T T T"
Be 0.000 0.000 0.000
Be 1.811 1.811 3.917
Os 0.000 1.811 1.959
Os 0.000 1.811 5.876
Os 1.811 0.000 1.959
Os 1.811 0.000 5.876
Ru 0.000 0.000 3.917
Ru 1.811 1.811 0.000
```

Computed properties:
D(E_F): 8.06 states/eV per cell
formation energy from the elements: 0.241 eV/atom

[4]
Compound: InReSi2
Source: Alexandria via LeMat-Bulk
Functional: PBEsol
Structure: optimized geometry

Geometry as extended XYZ:
```
16
Lattice="5.830 0.000 0.000 0.000 5.830 0.000 0.000 0.000 11.141" Properties=species:S:1:pos:R:3 pbc="T T T"
In 0.000 0.000 0.000
In 0.000 2.915 2.785
In 2.915 0.000 8.356
In 2.915 2.915 5.570
Re 0.000 0.000 5.570
Re 0.000 2.915 8.356
Re 2.915 0.000 2.785
Re 2.915 2.915 0.000
Si 1.138 1.458 6.963
Si 1.458 4.053 9.748
Si 1.458 4.692 4.178
Si 1.777 1.458 1.393
Si 4.053 4.373 1.393
Si 4.373 1.138 4.178
Si 4.373 1.777 9.748
Si 4.692 4.373 6.963
```

Computed properties:
D(E_F): 11.39 states/eV per cell
formation energy from raw total energies: 0.76 eV per atom

[5]
Compound: HfNb3P
Source: Alexandria via LeMat-Bulk
Functional: PBEsol
Structure: optimized geometry

Geometry as extended XYZ:
```
5
Lattice="4.821 0.000 0.000 0.000 4.821 0.000 0.000 0.000 4.821" Properties=species:S:1:pos:R:3 pbc="T T T"
Hf 0.000 0.000 0.000
Nb 0.000 0.000 2.410
Nb 0.000 2.410 0.000
Nb 2.410 0.000 0.000
P 2.410 2.410 2.410
```

Computed properties:
D(E_F): 7.29 states/eV per cell
formation energy from the elements: 1.853 eV/atom

[6]
Compound: LiCrBiAs2
Source: Alexandria via LeMat-Bulk
Functional: PBEsol
Structure: optimized geometry

Geometry as extended XYZ:
```
5
Lattice="5.524 0.000 0.000 0.000 5.524 0.000 0.000 0.000 5.098" Properties=species:S:1:pos:R:3 pbc="T T T"
Li 0.000 0.000 0.000
Cr 2.762 2.762 0.000
Bi 2.762 2.762 2.549
As 0.000 2.762 2.549
As 2.762 0.000 2.549
```

Computed properties:
D(E_F): 4.11 states/eV per cell
formation energy from the elements: 1.020 eV/atom

[7]
Compound: AlTe4Pt
Source: Alexandria via LeMat-Bulk
Functional: PBEsol
Structure: optimized geometry

Geometry as extended XYZ:
```
6
Lattice="0.000 4.309 4.309 4.309 0.000 4.309 4.309 4.309 0.000" Properties=species:S:1:pos:R:3 pbc="T T T"
Al 0.000 0.000 0.000
Te 3.247 3.247 3.247
Te 5.371 5.371 3.247
Te 5.371 3.247 5.371
Te 3.247 5.371 5.371
Pt 6.463 6.463 6.463
```

Computed properties:
D(E_F): 3.26 states/eV per cell
formation energy from raw total energies: 0.82 eV per atom

[8]
Compound: KZnAu2
Source: Alexandria via LeMat-Bulk
Functional: PBEsol
Structure: optimized geometry

Geometry as extended XYZ:
```
4
Lattice="2.846 0.000 0.000 0.000 4.137 0.000 0.000 0.000 7.191" Properties=species:S:1:pos:R:3 pbc="T T T"
K 0.000 0.000 0.000
Zn 1.423 2.068 2.470
Au 0.000 0.000 3.415
Au 1.423 2.068 5.083
```

Computed properties:
D(E_F): 1.82 states/eV per cell
formation energy from the elements: -0.026 eV/atom

[9]
Compound: ScRu3Pt
Source: Alexandria via LeMat-Bulk
Functional: PBEsol
Structure: optimized geometry

Geometry as extended XYZ:
```
5
Lattice="4.428 0.000 0.000 0.000 4.428 0.000 0.000 0.000 4.428" Properties=species:S:1:pos:R:3 pbc="T T T"
Sc 0.000 0.000 0.000
Ru 0.000 0.000 2.214
Ru 0.000 2.214 0.000
Ru 2.214 0.000 0.000
Pt 2.214 2.214 2.214
```

Computed properties:
D(E_F): 8.35 states/eV per cell
formation energy from the elements: 1.768 eV/atom

[10]
Compound: LaFeCo2
Source: Alexandria via LeMat-Bulk
Functional: PBEsol
Structure: optimized geometry

Geometry as extended XYZ:
```
12
Lattice="3.998 0.000 0.000 -1.999 3.462 0.000 0.000 0.000 14.637" Properties=species:S:1:pos:R:3 pbc="T T T"
La 0.000 0.000 0.000
La 0.000 2.308 9.758
La 1.999 1.154 4.879
Fe 0.000 0.000 2.742
Fe 0.000 2.308 12.500
Fe 1.999 1.154 7.621
Co 0.000 0.000 7.331
Co 0.000 0.000 11.905
Co 0.000 2.308 2.452
Co 0.000 2.308 7.026
Co 1.999 1.154 2.147
Co 1.999 1.154 12.210
```

Computed properties:
D(E_F): 11.38 states/eV per cell
formation energy from the elements: 0.031 eV/atom

[11]
Compound: DyGeRh
Source: Alexandria via LeMat-Bulk
Functional: PBEsol
Structure: optimized geometry

Geometry as extended XYZ:
```
12
Lattice="6.843 0.000 0.000 0.000 4.269 0.000 0.000 0.000 7.418" Properties=species:S:1:pos:R:3 pbc="T T T"
Dy 0.001 1.067 1.438
Dy 6.842 3.202 5.980
Dy 3.423 1.067 2.271
Dy 3.420 3.202 5.147
Ge 1.439 1.067 4.492
Ge 1.982 3.202 0.783
Ge 4.861 1.067 6.635
Ge 5.404 3.202 2.926
Rh 1.068 3.202 3.202
Rh 2.353 1.067 6.912
Rh 4.490 3.202 0.507
Rh 5.775 1.067 4.216
```

Computed properties:
D(E_F): 5.81 states/eV per cell
formation energy from the elements: -1.016 eV/atom

[12]
Compound: Zr2CoSi
Source: Alexandria via LeMat-Bulk
Functional: PBEsol
Structure: optimized geometry

Geometry as extended XYZ:
```
8
Lattice="3.777 0.000 0.000 0.000 3.590 0.000 0.000 0.000 9.859" Properties=species:S:1:pos:R:3 pbc="T T T"
Zr 0.000 0.000 0.000
Zr 0.000 1.795 4.929
Zr 1.889 0.000 2.852
Zr 1.889 1.795 7.782
Co 0.000 0.000 7.118
Co 0.000 1.795 2.189
Si 1.889 0.000 5.649
Si 1.889 1.795 0.719
```

Computed properties:
D(E_F): 8.33 states/eV per cell
formation energy from raw total energies: -0.69 eV per atom

Number 1: energy -22.063 eV for the cell shown. Number 2: energy -44.228 eV for the cell shown. Number 3: energy -75.280 eV for the cell shown. Number 4: energy -99.136 eV for the cell shown. Number 5: energy -39.493 eV for the cell shown. Number 6: energy -21.605 eV for the cell shown. Number 7: energy -20.263 eV for the cell shown. Number 8: energy -10.668 eV for the cell shown. Number 9: energy -35.248 eV for the cell shown. Number 10: energy -88.981 eV for the cell shown. Number 11: energy -84.421 eV for the cell shown. Number 12: energy -68.853 eV for the cell shown.